Arrangement w

Compound: Fe7Co
Source: the Alexandria database
Functional: GGA-PBE
Structure: optimized geometry

## Properties
Its space group is Fm-3m, No. 225. As for the spin magnetization: 8.139 μB/cell.

```
data_Fe7Co
_symmetry_space_group_name_H-M 'P 1'
_symmetry_Int_Tables_number 1
_cell_length_a 4.925
_cell_length_b 4.925
_cell_length_c 4.925
_cell_angle_alpha 60.00
_cell_angle_beta 60.00
_cell_angle_gamma 60.00
loop_
_symmetry_equiv_pos_as_xyz
'x,y,z'
loop_
_atom_site_label
_atom_site_type_symbol
_atom_site_fract_x
_atom_site_fract_y
_atom_site_fract_z
Fe1 Fe 0.500 0.000 0.000
Fe2 Fe 0.500 0.500 0.500
Fe3 Fe 0.000 0.000 0.500
Fe4 Fe 0.500 0.500 0.000
Fe5 Fe 0.000 0.500 0.500
Fe6 Fe 0.500 0.000 0.500
Fe7 Fe 0.000 0.500 0.000
Co1 Co 0.000 0.000 0.000
```

***

Arrangement x

Compound: Fe7Co
Source: the Alexandria database
Functional: GGA-PBE
Structure: optimized geometry

## Properties
Its space group is R-3m, No. 166. As for the spin magnetization: 18.638 μB/cell.

```
data_Fe7Co
_symmetry_space_group_name_H-M 'P 1'
_symmetry_Int_Tables_number 1
_cell_length_a 6.970
_cell_length_b 6.970
_cell_length_c 6.970
_cell_angle_alpha 33.54
_cell_angle_beta 33.54
_cell_angle_gamma 33.54
loop_
_symmetry_equiv_pos_as_xyz
'x,y,z'
loop_
_atom_site_label
_atom_site_type_symbol
_atom_site_fract_x
_atom_site_fract_y
_atom_site_fract_z
Fe1 Fe 0.125 0.125 0.125
Fe2 Fe 0.375 0.375 0.375
Fe3 Fe 0.500 0.500 0.500
Fe4 Fe 0.250 0.250 0.250
Fe5 Fe 0.875 0.875 0.875
Fe6 Fe 0.750 0.750 0.750
Fe7 Fe 0.625 0.625 0.625
Co1 Co 0.000 0.000 0.000
```

***

So which one is most stable? That would be arrangement x, about 16.1 kJ/mol of atoms below the next structure.

***

Arrangement w

Compound: Fe7Co
Source: the Alexandria database
Functional: GGA-PBE
Structure: optimized geometry

## Properties
Its space group is Immm, No. 71. As for the spin magnetization: 18.439 μB/cell.

```
data_Fe7Co
_symmetry_space_group_name_H-M 'P 1'
_symmetry_Int_Tables_number 1
_cell_length_a 8.425
_cell_length_b 8.425
_cell_length_c 8.425
_cell_angle_alpha 160.59
_cell_angle_beta 152.40
_cell_angle_gamma 33.97
loop_
_symmetry_equiv_pos_as_xyz
'x,y,z'
loop_
_atom_site_label
_atom_site_type_symbol
_atom_site_fract_x
_atom_site_fract_y
_atom_site_fract_z
Co1 Co 0.000 0.000 0.000
Fe1 Fe 0.375 0.875 0.500
Fe2 Fe 0.251 0.251 0.000
Fe3 Fe 0.749 0.749 0.000
Fe4 Fe 0.500 0.500 0.000
Fe5 Fe 0.625 0.125 0.500
Fe6 Fe 0.876 0.376 0.500
Fe7 Fe 0.124 0.624 0.500
```

***

Arrangement x

Compound: Fe7Co
Source: the Alexandria database
Functional: GGA-PBE
Structure: optimized geometry

## Properties
Its space group is P2/m, No. 10. As for the spin magnetization: 18.330 μB/cell.

```
data_Fe7Co
_symmetry_space_group_name_H-M 'P 1'
_symmetry_Int_Tables_number 1
_cell_length_a 8.047
_cell_length_b 2.457
_cell_length_c 4.718
_cell_angle_alpha 79.90
_cell_angle_beta 90.00
_cell_angle_gamma 90.00
loop_
_symmetry_equiv_pos_as_xyz
'x,y,z'
loop_
_atom_site_label
_atom_site_type_symbol
_atom_site_fract_x
_atom_site_fract_y
_atom_site_fract_z
Fe1 Fe 0.500 0.500 0.500
Fe2 Fe 0.249 0.248 0.250
Fe3 Fe 0.751 0.752 0.750
Fe4 Fe 0.500 0.000 0.000
Fe5 Fe 0.000 0.500 0.500
Fe6 Fe 0.249 0.752 0.750
Fe7 Fe 0.751 0.248 0.250
Co1 Co 0.000 0.000 0.000
```

***

So which one is most stable? That would be arrangement w, about 0.6 kJ/mol of atoms below the next structure.

***

Arrangement w

Compound: Fe2Co5
Source: the Alexandria database
Functional: GGA-PBE
Structure: optimized geometry

## Properties
Its space group is C2/m, No. 12. As for the spin magnetization: 14.035 μB/cell.

```
data_Fe2Co5
_symmetry_space_group_name_H-M 'P 1'
_symmetry_Int_Tables_number 1
_cell_length_a 4.689
_cell_length_b 4.689
_cell_length_c 6.362
_cell_angle_alpha 82.20
_cell_angle_beta 82.20
_cell_angle_gamma 34.81
loop_
_symmetry_equiv_pos_as_xyz
'x,y,z'
loop_
_atom_site_label
_atom_site_type_symbol
_atom_site_fract_x
_atom_site_fract_y
_atom_site_fract_z
Co1 Co 0.995 0.995 0.003
Co2 Co 0.574 0.574 0.290
Co3 Co 0.714 0.714 0.857
Co4 Co 0.433 0.433 0.711
Co5 Co 0.855 0.855 0.424
Fe1 Fe 0.145 0.145 0.573
Fe2 Fe 0.284 0.284 0.141
```

***

Arrangement x

Compound: Fe2Co5
Source: the Alexandria database
Functional: GGA-PBE
Structure: optimized geometry

## Properties
Its space group is C2/m, No. 12. As for the spin magnetization: 14.181 μB/cell.

```
data_Fe2Co5
_symmetry_space_group_name_H-M 'P 1'
_symmetry_Int_Tables_number 1
_cell_length_a 2.452
_cell_length_b 17.185
_cell_length_c 2.452
_cell_angle_alpha 109.96
_cell_angle_beta 108.87
_cell_angle_gamma 109.96
loop_
_symmetry_equiv_pos_as_xyz
'x,y,z'
loop_
_atom_site_label
_atom_site_type_symbol
_atom_site_fract_x
_atom_site_fract_y
_atom_site_fract_z
Co1 Co 0.004 0.144 0.004
Co2 Co 0.996 0.285 0.996
Co3 Co 0.996 0.427 0.996
Co4 Co 0.004 0.002 0.004
Co5 Co 0.000 0.714 0.000
Fe1 Fe 0.996 0.570 0.996
Fe2 Fe 0.004 0.858 0.004
```

***

Arrangement y

Compound: Fe2Co5
Source: the Alexandria database
Functional: GGA-PBE
Structure: optimized geometry

## Properties
Its space group is R-3m, No. 166. As for the spin magnetization: 13.860 μB/cell.

```
data_Fe2Co5
_symmetry_space_group_name_H-M 'P 1'
_symmetry_Int_Tables_number 1
_cell_length_a 6.162
_cell_length_b 6.162
_cell_length_c 6.162
_cell_angle_alpha 37.80
_cell_angle_beta 37.80
_cell_angle_gamma 37.80
loop_
_symmetry_equiv_pos_as_xyz
'x,y,z'
loop_
_atom_site_label
_atom_site_type_symbol
_atom_site_fract_x
_atom_site_fract_y
_atom_site_fract_z
Co1 Co 0.571 0.571 0.571
Co2 Co 0.144 0.144 0.144
Co3 Co 0.286 0.286 0.286
Co4 Co 0.427 0.427 0.427
Co5 Co 0.000 0.000 0.000
Fe1 Fe 0.714 0.714 0.714
Fe2 Fe 0.858 0.858 0.858
```

***

So which one is most stable? That would be arrangement w, about 2.0 kJ/mol of atoms below the next structure.

***

Arrangement w

Compound: Fe2Co5
Source: the Alexandria database
Functional: GGA-PBE
Structure: optimized geometry

## Properties
Its space group is P-1, No. 2. As for the spin magnetization: 13.997 μB/cell.

```
data_Fe2Co5
_symmetry_space_group_name_H-M 'P 1'
_symmetry_Int_Tables_number 1
_cell_length_a 6.198
_cell_length_b 6.058
_cell_length_c 6.161
_cell_angle_alpha 115.88
_cell_angle_beta 119.84
_cell_angle_gamma 118.98
loop_
_symmetry_equiv_pos_as_xyz
'x,y,z'
loop_
_atom_site_label
_atom_site_type_symbol
_atom_site_fract_x
_atom_site_fract_y
_atom_site_fract_z
Co1 Co 0.121 0.544 0.262
Co2 Co 0.621 0.339 0.193
Co3 Co 0.450 0.742 0.881
Co4 Co 0.286 0.143 0.571
Co5 Co 0.950 0.947 0.949
Fe1 Fe 0.718 0.860 0.430
Fe2 Fe 0.854 0.426 0.713
```

***

Arrangement x

Compound: Fe2Co5
Source: the Alexandria database
Functional: GGA-PBE
Structure: optimized geometry

## Properties
Its space group is Ibam, No. 72. As for the spin magnetization: 26.791 μB/cell.

```
data_Fe2Co5
_symmetry_space_group_name_H-M 'P 1'
_symmetry_Int_Tables_number 1
_cell_length_a 5.050
_cell_length_b 5.854
_cell_length_c 6.703
_cell_angle_alpha 115.89
_cell_angle_beta 112.13
_cell_angle_gamma 90.00
loop_
_symmetry_equiv_pos_as_xyz
'x,y,z'
loop_
_atom_site_label
_atom_site_type_symbol
_atom_site_fract_x
_atom_site_fract_y
_atom_site_fract_z
Co1 Co 0.481 0.731 0.461
Co2 Co 0.625 0.896 0.250
Co3 Co 0.750 0.500 0.000
Co4 Co 0.375 0.104 0.750
Co5 Co 0.875 0.646 0.750
Co6 Co 0.250 0.500 0.000
Co7 Co 0.125 0.354 0.250
Co8 Co 0.981 0.731 0.461
Co9 Co 0.019 0.269 0.539
Co10 Co 0.519 0.269 0.539
Fe1 Fe 0.908 0.082 0.815
Fe2 Fe 0.092 0.918 0.185
Fe3 Fe 0.408 0.733 0.815
Fe4 Fe 0.592 0.267 0.185
```

***

Arrangement y

Compound: Fe2Co5
Source: the Alexandria database
Functional: GGA-PBE
Structure: optimized geometry

## Properties
Its space group is I4/mmm, No. 139. As for the spin magnetization: 13.807 μB/cell.

```
data_Fe2Co5
_symmetry_space_group_name_H-M 'P 1'
_symmetry_Int_Tables_number 1
_cell_length_a 10.174
_cell_length_b 10.174
_cell_length_c 10.174
_cell_angle_alpha 164.12
_cell_angle_beta 164.12
_cell_angle_gamma 22.53
loop_
_symmetry_equiv_pos_as_xyz
'x,y,z'
loop_
_atom_site_label
_atom_site_type_symbol
_atom_site_fract_x
_atom_site_fract_y
_atom_site_fract_z
Co1 Co 0.427 0.427 0.000
Co2 Co 0.857 0.857 0.000
Co3 Co 0.715 0.715 0.000
Co4 Co 0.000 0.000 0.000
Co5 Co 0.287 0.287 0.000
Fe1 Fe 0.144 0.144 0.000
Fe2 Fe 0.570 0.570 0.000
```

***

So which one is most stable? That would be arrangement w, about 0.5 kJ/mol of atoms below the next structure.